DFT (PBE-GGA) results for MgNi6Ge6 after structural relaxation.

Calculated values
Its magnetic moment is 0.0 μB per cell. The calculation puts the total energy at -67.46 eV for the cell shown. Its density of states at the Fermi level is 0.53 states/eV per atom.

Lattice parameters (Å, degrees): 6.446 6.446 6.446 133.44 104.30 93.75
Positions (direct):
Mg1 0.000 0.000 0.000
Ni1 0.000 0.000 0.500
Ni2 0.000 0.500 0.000
Ni3 0.254 0.500 0.754
Ni4 0.500 0.000 0.000
Ni5 0.500 0.500 0.500
Ni6 0.746 0.500 0.246
Ge1 0.165 0.665 0.500
Ge2 0.333 0.333 0.000
Ge3 0.341 0.000 0.341
Ge4 0.659 0.000 0.659
Ge5 0.667 0.667 0.000
Ge6 0.835 0.335 0.500


DFT (PBE-GGA) results for Be9Nb2Pd after structural relaxation.

Calculated values
Its magnetic moment is 0.0 μB per cell. The calculation puts the total energy at -121.81 eV for the cell shown. Its density of states at the Fermi level is 0.19 states/eV per atom.

Lattice parameters (Å, degrees): 4.539 4.539 14.120 90.00 90.00 120.00
Positions (direct):
Be1 0.000 0.000 0.000
Be2 0.000 0.000 0.250
Be3 0.000 0.000 0.500
Be4 0.000 0.000 0.750
Be5 0.166 0.332 0.126
Be6 0.166 0.332 0.374
Be7 0.166 0.834 0.126
Be8 0.166 0.834 0.374
Be9 0.332 0.166 0.626
Be10 0.332 0.166 0.874
Be11 0.333 0.667 0.250
Be12 0.667 0.333 0.750
Be13 0.668 0.834 0.126
Be14 0.668 0.834 0.374
Be15 0.834 0.166 0.626
Be16 0.834 0.166 0.874
Be17 0.834 0.668 0.626
Be18 0.834 0.668 0.874
Nb1 0.333 0.667 0.532
Nb2 0.333 0.667 0.968
Nb3 0.667 0.333 0.032
Nb4 0.667 0.333 0.468
Pd1 0.333 0.667 0.750
Pd2 0.667 0.333 0.250


DFT (PBE-GGA) results for Na2LiPdRu after structural relaxation.

Calculated values
Its magnetic moment is 0.0 μB per cell. The calculation puts the total energy at -15.01 eV for the cell shown. Its density of states at the Fermi level is 0.72 states/eV per atom.

Lattice parameters (Å, degrees): 5.383 5.383 4.725 90.00 90.00 90.00
Positions (direct):
Na1 0.000 0.500 0.000
Na2 0.500 0.000 0.000
Li1 0.000 0.000 0.500
Pd1 0.500 0.500 0.500
Ru1 0.500 0.500 0.000


DFT (PBE-GGA) results for NaLuAu2 after structural relaxation.

Calculated values
Its magnetic moment is 0.0 μB per cell. The calculation puts the total energy at -42.99 eV for the cell shown. Its density of states at the Fermi level is 0.56 states/eV per atom.

Lattice parameters (Å, degrees): 3.818 3.818 24.006 90.00 90.00 120.00
Positions (direct):
Na1 0.000 0.000 0.000
Na2 0.333 0.667 0.667
Na3 0.667 0.333 0.333
Lu1 0.000 0.000 0.500
Lu2 0.333 0.667 0.167
Lu3 0.667 0.333 0.833
Au1 0.000 0.000 0.242
Au2 0.000 0.000 0.758
Au3 0.333 0.667 0.425
Au4 0.333 0.667 0.909
Au5 0.667 0.333 0.091
Au6 0.667 0.333 0.575


DFT (PBE-GGA) results for ZnTeIr2 after structural relaxation.

Calculated values
Its magnetic moment is 0.0 μB per cell. As for the energy above the most stable polymorph in this dataset: 6 kJ/mol of formula units. Its density of states at the Fermi level is 0.35 states/eV per atom.

Lattice parameters (Å, degrees): 4.216 4.216 7.357 90.00 90.00 90.00
Positions (direct):
Zn1 0.000 0.000 0.000
Zn2 0.500 0.500 0.500
Te1 0.000 0.000 0.500
Te2 0.500 0.500 0.000
Ir1 0.000 0.500 0.250
Ir2 0.000 0.500 0.750
Ir3 0.500 0.000 0.250
Ir4 0.500 0.000 0.750


DFT (PBE-GGA) results for BaCd3Pd3 after structural relaxation.

Calculated values
Its magnetic moment is 0.0 μB per cell. As for the energy above the most stable polymorph in this dataset: 126 kJ/mol of formula units. Its density of states at the Fermi level is 0.50 states/eV per atom.

Lattice parameters (Å, degrees): 7.422 7.422 7.422 90.00 90.00 90.00
Positions (direct):
Ba1 0.000 0.000 0.000
Ba2 0.500 0.500 0.500
Cd1 0.000 0.250 0.500
Cd2 0.000 0.750 0.500
Cd3 0.250 0.500 0.000
Cd4 0.500 0.000 0.250
Cd5 0.500 0.000 0.750
Cd6 0.750 0.500 0.000
Pd1 0.000 0.500 0.250
Pd2 0.000 0.500 0.750
Pd3 0.250 0.000 0.500
Pd4 0.500 0.250 0.000
Pd5 0.500 0.750 0.000
Pd6 0.750 0.000 0.500


DFT (PBE-GGA) results for PmLu3C after structural relaxation.

Calculated values
Its magnetic moment is 0.1 μB per cell. The calculation puts the total energy at -27.74 eV for the cell shown. Its density of states at the Fermi level is 0.97 states/eV per atom.

Lattice parameters (Å, degrees): 4.941 4.941 4.941 90.00 90.00 90.00
Positions (direct):
Pm1 0.000 0.000 0.000
Lu1 0.000 0.500 0.500
Lu2 0.500 0.000 0.500
Lu3 0.500 0.500 0.000
C1 0.500 0.500 0.500


DFT (PBE-GGA) results for Li2Zn3Au2 after structural relaxation.

Calculated values
Its magnetic moment is 0.0 μB per cell. As for the energy above the most stable polymorph in this dataset: 0 kJ/mol of formula units. Its density of states at the Fermi level is 0.18 states/eV per atom.

Lattice parameters (Å, degrees): 8.684 4.077 6.114 90.00 98.28 90.00
Positions (direct):
Li1 0.084 0.000 0.223
Li2 0.416 0.500 0.777
Li3 0.584 0.500 0.223
Li4 0.916 0.000 0.777
Zn1 0.000 0.500 0.500
Zn2 0.134 0.500 0.926
Zn3 0.366 0.000 0.074
Zn4 0.500 0.000 0.500
Zn5 0.634 0.000 0.926
Zn6 0.866 0.500 0.074
Au1 0.205 0.000 0.663
Au2 0.295 0.500 0.337
Au3 0.705 0.500 0.663
Au4 0.795 0.000 0.337


DFT (PBE-GGA) results for Mn2AlHg after structural relaxation.

Calculated values
Its magnetic moment is 1.4 μB per cell. As for the energy above the most stable polymorph in this dataset: 0 kJ/mol of formula units. Its density of states at the Fermi level is 0.58 states/eV per atom.

Lattice parameters (Å, degrees): 2.876 2.876 7.479 90.00 90.00 90.00
Positions (direct):
Mn1 0.000 0.000 0.000
Mn2 0.500 0.500 0.193
Al1 0.000 0.000 0.403
Hg1 0.500 0.500 0.716


DFT (PBE-GGA) results for LaZn3P after structural relaxation.

Calculated values
Its magnetic moment is 0.0 μB per cell. As for the energy above the most stable polymorph in this dataset: 588 kJ/mol of formula units. Its density of states at the Fermi level is 1.16 states/eV per atom.

Lattice parameters (Å, degrees): 5.718 5.718 5.718 90.00 90.00 90.00
Positions (direct):
La1 0.000 0.000 0.000
Zn1 0.000 0.000 0.500
Zn2 0.000 0.500 0.000
Zn3 0.500 0.000 0.000
P1 0.500 0.500 0.500


DFT (PBE-GGA) results for MnCd2Ga2 after structural relaxation.

Calculated values
Its magnetic moment is 6.5 μB per cell. The calculation puts the total energy at -32.20 eV for the cell shown. Its density of states at the Fermi level is 0.53 states/eV per atom.

Lattice parameters (Å, degrees): 6.772 6.772 4.250 90.00 90.00 90.00
Positions (direct):
Mn1 0.000 0.000 0.000
Mn2 0.500 0.500 0.000
Cd1 0.174 0.326 0.500
Cd2 0.326 0.826 0.500
Cd3 0.674 0.174 0.500
Cd4 0.826 0.674 0.500
Ga1 0.137 0.637 0.000
Ga2 0.363 0.137 0.000
Ga3 0.637 0.863 0.000
Ga4 0.863 0.363 0.000


DFT (PBE-GGA) results for TmSc2Ni after structural relaxation.

Calculated values
Its magnetic moment is 0.0 μB per cell. As for the energy above the most stable polymorph in this dataset: 0 kJ/mol of formula units. Its density of states at the Fermi level is 1.28 states/eV per atom.

Lattice parameters (Å, degrees): 6.457 9.125 5.969 90.00 90.00 90.00
Positions (direct):
Tm1 0.023 0.250 0.127
Tm2 0.477 0.750 0.627
Tm3 0.523 0.250 0.373
Tm4 0.977 0.750 0.873
Sc1 0.176 0.062 0.681
Sc2 0.176 0.438 0.681
Sc3 0.324 0.562 0.181
Sc4 0.324 0.938 0.181
Sc5 0.676 0.062 0.819
Sc6 0.676 0.438 0.819
Sc7 0.824 0.562 0.319
Sc8 0.824 0.938 0.319
Ni1 0.103 0.750 0.435
Ni2 0.397 0.250 0.935
Ni3 0.603 0.750 0.065
Ni4 0.897 0.250 0.565